No. 1
Below is a relaxed structure of Ba4UMn3O12, with properties calculated at the PBE with a Hubbard U level.

* raw total energy: -7.44 eV per atom
* DOS(E_F): 5.8 states/eV per cell
* space-group type: No. 229

a b c (Å): 7.147 7.147 7.147
angles (deg): 109.47 109.47 109.47
Fractional coordinates of all 20 atoms:
1 O 0.750 0.500 0.250
2 O 0.500 0.250 0.750
3 O 0.000 0.251 0.251
4 O 0.250 0.500 0.750
5 O 0.251 0.000 0.251
6 O 0.750 0.250 0.500
7 O 0.749 0.749 0.000
8 O 0.500 0.750 0.250
9 O 0.749 0.000 0.749
10 O 0.000 0.749 0.749
11 O 0.251 0.251 0.000
12 O 0.250 0.750 0.500
13 Ba 0.500 0.500 0.500
14 Ba 0.500 0.000 0.000
15 Ba 0.000 0.500 0.000
16 Ba 0.000 0.000 0.500
17 Mn 0.500 0.500 0.000
18 Mn 0.500 0.000 0.500
19 Mn 0.000 0.500 0.500
20 U 0.000 0.000 0.000

=====

No. 2
Below is a relaxed structure of Ba2Mn2VO6, with properties calculated at the PBE with a Hubbard U level.

* raw total energy: -7.04 eV per atom
* space-group type: No. 166

a b c (Å): 6.083 6.083 6.457
angles (deg): 61.90 61.90 60.00
Fractional coordinates of all 11 atoms:
1 O 0.778 0.225 0.772
2 O 0.222 0.775 0.228
3 O 0.225 0.225 0.772
4 O 0.225 0.778 0.772
5 O 0.775 0.222 0.228
6 O 0.775 0.775 0.228
7 Ba 0.790 0.790 0.631
8 Ba 0.210 0.210 0.369
9 Mn 0.592 0.592 0.224
10 Mn 0.408 0.408 0.776
11 V 0.000 0.000 0.000